DFT (GGA-PBE) results for FeSbAs2 after structural relaxation.

Cell: 4.701 8.814 3.811 Å, 90.00 90.00 90.00°
Space group Cmmm (No. 65)
Symmetry-distinct sites (fractional):
Fe: 0.000 0.000 0.000 x2
Sb: 0.000 0.500 0.000 x2
As: 0.000 0.171 0.500 x4

Results
E: -5.376 eV per atom
raw formation energy: 0.095 eV/atom

DFT (GGA-PBE) results for FeSb2As after structural relaxation.

Cell: 6.907 7.774 3.257 Å, 90.00 104.07 90.00°
Space group C2/m (No. 12)
Symmetry-distinct sites (fractional):
Fe: 0.000 0.000 0.000 x2
Sb: 0.250 0.250 0.500 x4
As: 0.000 0.500 0.000 x2

Results
E: -4.848 eV per atom
raw formation energy: 0.491 eV/atom

no.,density of states at the Fermi level (states/eV per atom)
1,0.54
2,0.90